Compound: K2MgHg
Source: Alexandria
Functional: PBE
Structure: optimized geometry

Unit cell a=7.098 b=7.098 c=7.098 alpha=145.17 beta=127.83 gamma=64.27
Fractional positions:
1 Hg 0.286 0.786 0.500
2 Mg 0.446 0.446 0.000
3 K 0.733 0.233 0.500
4 K 0.035 0.035 0.000

Energy above the lowest structure with this stoichiometry   13 meV per atom